## CaZr2InH (GGA-PBE)

Data for a relaxed CaZr2InH crystal.

The structure belongs to space group P4/mmm (No. 123); the cell edges are 4.534, 4.534 and 4.787 Å and the angles 90.00°, 90.00° and 90.00°. The distinct sites, in fractional coordinates, are Ca at (0.000, 0.000, 0.000), Zr at (0.000, 0.500, 0.500), In at (0.500, 0.500, 0.000) and H at (0.000, 0.000, 0.500).

The calculated total energy is -26.1 eV for the cell shown. The value obtained for the volume is 98.4 Å³ per cell. The value obtained for the density of states at the Fermi level is 0.949 states/eV per atom.

***

## Th8Sn2Ru (GGA-PBE)

Data for a relaxed Th8Sn2Ru crystal.

The structure belongs to space group C2/m (No. 12); the cell edges are 18.500, 5.559 and 6.786 Å and the angles 90.00°, 109.06° and 90.00°. The distinct sites, in fractional coordinates, are Th at (0.005, 0.000, 0.240), Th at (0.089, 0.500, 0.742), Th at (0.141, 0.500, 0.308), Th at (0.222, 0.000, 0.129), Sn at (0.171, 0.000, 0.615) and Ru at (0.000, 0.500, 0.000).

The calculated total energy is -157.7 eV for the cell shown. The value obtained for the volume is 659.6 Å³ per cell. The formation energy is -0.20 eV per atom. The value obtained for the density of states at the Fermi level is 1.157 states/eV per atom.

***

## SrNdHg4 (GGA-PBE)

Data for a relaxed SrNdHg4 crystal.

The structure belongs to space group P4/mmm (No. 123); the cell edges are 4.066, 4.066 and 10.164 Å and the angles 90.00°, 90.00° and 90.00°. The distinct sites, in fractional coordinates, are Sr at (0.000, 0.000, 0.000), Nd at (0.500, 0.500, 0.500), Hg at (0.000, 0.000, 0.337) and Hg at (0.500, 0.500, 0.178).

The energy above the lowest structure with this stoichiometry is 0 meV per atom. The calculated total energy is -10.2 eV for the cell shown. The value obtained for the volume is 168.1 Å³ per cell. The formation energy is -0.42 eV per atom. The value obtained for the density of states at the Fermi level is 0.415 states/eV per atom.

***

## Co2BHRu (GGA-PBE)

Data for a relaxed Co2BHRu crystal.

The structure belongs to space group P4/mmm (No. 123); the cell edges are 3.367, 3.367 and 3.894 Å and the angles 90.00°, 90.00° and 90.00°. The distinct sites, in fractional coordinates, are Co at (0.000, 0.500, 0.000), B at (0.000, 0.000, 0.500), H at (0.500, 0.500, 0.000) and Ru at (0.500, 0.500, 0.500).

The calculated total energy is -32.1 eV for the cell shown. The value obtained for the volume is 44.1 Å³ per cell. The value obtained for the density of states at the Fermi level is 1.193 states/eV per atom.

***

## Nb2Tc (GGA-PBE)

Data for a relaxed Nb2Tc crystal.

The structure belongs to space group P4/mmm (No. 123); the cell edges are 3.218, 3.218 and 9.806 Å and the angles 90.00°, 90.00° and 90.00°. The distinct sites, in fractional coordinates, are Nb at (0.000, 0.000, 0.000), Nb at (0.000, 0.000, 0.324), Nb at (0.500, 0.500, 0.500) and Tc at (0.500, 0.500, 0.162).

The energy above the lowest structure with this stoichiometry is 21 meV per atom. The calculated total energy is -62.5 eV for the cell shown. The value obtained for the volume is 101.5 Å³ per cell. The formation energy is -0.26 eV per atom. The value obtained for the density of states at the Fermi level is 0.547 states/eV per atom.

***

## PaCdPt2O8 (GGA-PBE)

Data for a relaxed PaCdPt2O8 crystal.

The structure belongs to space group I-4m2 (No. 119); the cell edges are 7.066, 7.066 and 6.988 Å and the angles 90.00°, 90.00° and 90.00°. The distinct sites, in fractional coordinates, are Pa at (0.000, 0.000, 0.000), Cd at (0.000, 0.500, 0.750), Pt at (0.000, 0.000, 0.500), Pt at (0.000, 0.500, 0.250), O at (0.000, 0.169, 0.717) and O at (0.000, 0.321, 0.042).

The calculated total energy is -151.2 eV for the cell shown. The value obtained for the volume is 348.9 Å³ per cell. The value obtained for the density of states at the Fermi level is 0.865 states/eV per atom. The uncorrected formation energy is -108.0 kJ/mol of atoms.

***

## DyMgZnNi (GGA-PBE)

Data for a relaxed DyMgZnNi crystal.

The structure belongs to space group F-43m (No. 216); the cell edges are 6.652, 6.652 and 6.652 Å and the angles 90.00°, 90.00° and 90.00°. The distinct sites, in fractional coordinates, are Dy at (0.000, 0.000, 0.000), Mg at (0.000, 0.000, 0.500), Zn at (0.250, 0.250, 0.750) and Ni at (0.250, 0.250, 0.250).

The calculated total energy is -57.2 eV for the cell shown. The value obtained for the volume is 294.3 Å³ per cell. The formation energy is -0.26 eV per atom. The value obtained for the density of states at the Fermi level is 0.897 states/eV per atom.

***

## Tb4Dy15Er (GGA-PBE)

Data for a relaxed Tb4Dy15Er crystal.

The structure belongs to space group P4/mmm (No. 123); the cell edges are 5.002, 5.002 and 25.008 Å and the angles 90.00°, 90.00° and 90.00°. The distinct sites, in fractional coordinates, are Tb at (0.000, 0.000, 0.100), Tb at (0.000, 0.000, 0.300), Dy at (0.000, 0.500, 0.000), Dy at (0.000, 0.500, 0.200), Dy at (0.000, 0.500, 0.401), Dy at (0.500, 0.500, 0.100), Dy at (0.500, 0.500, 0.300), Dy at (0.500, 0.500, 0.500) and Er at (0.000, 0.000, 0.500).

The calculated total energy is -91.8 eV for the cell shown. The value obtained for the volume is 625.7 Å³ per cell. The formation energy is 0.02 eV per atom. The value obtained for the density of states at the Fermi level is 1.304 states/eV per atom.

***

## MgInW2 (GGA-PBE)

Data for a relaxed MgInW2 crystal.

The structure belongs to space group R-3m (No. 166, hexagonal axes); the cell edges are 2.9314, 2.9314 and 29.1073 Å and the angles 90.00°, 90.00° and 120.00°. The distinct sites, in fractional coordinates, are Mg at (0.0000, 0.0000, 0.0000), In at (0.0000, 0.0000, 0.5000) and W at (0.0000, 0.0000, 0.2500).

The energy above the lowest structure with this stoichiometry is 346 meV per atom. The calculated total energy is -83.0 eV for the cell shown. The value obtained for the volume is 216.6 Å³ per cell. The formation energy is 0.65 eV per atom. The value obtained for the density of states at the Fermi level is 1.411 states/eV per atom.

***

## Tb5Tl2Rh2Au (GGA-PBE)

Data for a relaxed Tb5Tl2Rh2Au crystal.

The structure belongs to space group P4/mbm (No. 127); the cell edges are 11.754, 11.754 and 3.652 Å and the angles 90.00°, 90.00° and 90.00°. The distinct sites, in fractional coordinates, are Tb at (0.000, 0.500, 0.000), Tb at (0.078, 0.199, 0.000), Tl at (0.171, 0.671, 0.500), Rh at (0.134, 0.366, 0.500) and Au at (0.000, 0.000, 0.500).

The calculated total energy is -104.4 eV for the cell shown. The value obtained for the volume is 504.5 Å³ per cell. The formation energy is -0.63 eV per atom. The value obtained for the density of states at the Fermi level is 0.387 states/eV per atom.

***

## BaSr2Ca12 (GGA-PBE)

Data for a relaxed BaSr2Ca12 crystal.

The structure belongs to space group P4/nbm (No. 125, origin choice 2); the cell edges are 7.194, 7.194 and 28.626 Å and the angles 90.00°, 90.00° and 90.00°. The distinct sites, in fractional coordinates, are Ba at (0.250, 0.750, 0.000), Sr at (0.250, 0.750, 0.287), Ca at (0.058, 0.558, 0.125), Ca at (0.075, 0.575, 0.558), Ca at (0.250, 0.250, 0.221) and Ca at (0.250, 0.250, 0.349).

The calculated total energy is -52.6 eV for the cell shown. The value obtained for the volume is 1481.5 Å³ per cell. The formation energy is 0.20 eV per atom. The value obtained for the density of states at the Fermi level is 1.444 states/eV per atom.

***

## TeAuS3 (GGA-PBE)

Data for a relaxed TeAuS3 crystal.

The structure belongs to space group C2/m (No. 12); the cell edges are 19.605, 3.514 and 9.084 Å and the angles 90.00°, 113.21° and 90.00°. The distinct sites, in fractional coordinates, are Te at (0.176, 0.000, 0.304), Au at (0.072, 0.500, 0.876), S at (0.005, 0.000, 0.269), S at (0.157, 0.000, 0.006) and S at (0.197, 0.500, 0.613).

The energy above the lowest structure with this stoichiometry is 0 meV per atom. The calculated total energy is -72.9 eV for the cell shown. The value obtained for the volume is 575.2 Å³ per cell. The value obtained for the density of states at the Fermi level is 0.404 states/eV per atom. The uncorrected formation energy is 11.1 kJ/mol of atoms.

***

## YbZnIn (GGA-PBE)

Data for a relaxed YbZnIn crystal.

The structure belongs to space group P-6m2 (No. 187); the cell edges are 4.7787, 4.7787 and 3.5619 Å and the angles 90.00°, 90.00° and 120.00°. The distinct sites, in fractional coordinates, are Yb at (0.0000, 0.0000, 0.0000), Zn at (0.6667, 0.3333, 0.5000) and In at (0.3333, 0.6667, 0.5000).

The calculated total energy is -6.7 eV for the cell shown. The value obtained for the volume is 70.4 Å³ per cell. The formation energy is -0.40 eV per atom. The value obtained for the density of states at the Fermi level is 7.521 states/eV per atom.

***

## TaI2Br (GGA-PBE)

Data for a relaxed TaI2Br crystal.

The structure belongs to space group P1 (No. 1); the cell edges are 3.510, 7.915 and 8.006 Å and the angles 117.53°, 94.10° and 100.43°. The distinct sites, in fractional coordinates, are Ta at (0.000, 0.000, 0.000), I at (0.390, 0.855, 0.689), I at (0.655, 0.320, 0.149) and Br at (0.461, 0.849, 0.141).

The energy above the lowest structure with this stoichiometry is 215 meV per atom. The calculated total energy is -17.7 eV for the cell shown. The value obtained for the volume is 190.9 Å³ per cell. The value obtained for the density of states at the Fermi level is 0.570 states/eV per atom. The uncorrected formation energy is -25.3 kJ/mol of atoms.

***

## HgP2OsO (GGA-PBE)

Data for a relaxed HgP2OsO crystal.

The structure belongs to space group P4/mmm (No. 123); the cell edges are 4.843, 4.843 and 3.708 Å and the angles 90.00°, 90.00° and 90.00°. The distinct sites, in fractional coordinates, are Hg at (0.000, 0.000, 0.000), P at (0.000, 0.500, 0.500), Os at (0.500, 0.500, 0.500) and O at (0.500, 0.500, 0.000).

The energy above the lowest structure with this stoichiometry is 0 meV per atom. The calculated total energy is -26.4 eV for the cell shown. The value obtained for the volume is 87.0 Å³ per cell. The value obtained for the density of states at the Fermi level is 0.994 states/eV per atom. The uncorrected formation energy is 17.7 kJ/mol of atoms.

***

## PmPuO4 (GGA-PBE)

Data for a relaxed PmPuO4 crystal.

The structure belongs to space group R-3m (No. 166, hexagonal axes); the cell edges are 3.8822, 3.8822 and 18.4218 Å and the angles 90.00°, 90.00° and 120.00°. The distinct sites, in fractional coordinates, are Pm at (0.0000, 0.0000, 0.0000), Pu at (0.0000, 0.0000, 0.5000), O at (0.0000, 0.0000, 0.1339) and O at (0.0000, 0.0000, 0.3838).

The energy above the lowest structure with this stoichiometry is 0 meV per atom. The calculated total energy is -173.3 eV for the cell shown. The value obtained for the volume is 240.4 Å³ per cell. The value obtained for the density of states at the Fermi level is 0.419 states/eV per atom. The uncorrected formation energy is -303.0 kJ/mol of atoms.

***

## Cs2NaMgHg6 (GGA-PBE)

Data for a relaxed Cs2NaMgHg6 crystal.

The structure belongs to space group Fm-3m (No. 225); the cell edges are 11.667, 11.667 and 11.667 Å and the angles 90.00°, 90.00° and 90.00°. The distinct sites, in fractional coordinates, are Cs at (0.250, 0.250, 0.250), Na at (0.000, 0.000, 0.000), Mg at (0.000, 0.000, 0.500) and Hg at (0.000, 0.000, 0.255).

The calculated total energy is -31.0 eV for the cell shown. The value obtained for the volume is 1588.2 Å³ per cell. The formation energy is -0.13 eV per atom. The value obtained for the density of states at the Fermi level is 0.653 states/eV per atom.

***

## CoAg2Mo (GGA-PBE)

Data for a relaxed CoAg2Mo crystal.

The structure belongs to space group I-42d (No. 122); the cell edges are 7.294, 7.294 and 5.106 Å and the angles 90.00°, 90.00° and 90.00°. The distinct sites, in fractional coordinates, are Co at (0.000, 0.000, 0.000), Ag at (0.221, 0.250, 0.125) and Mo at (0.000, 0.000, 0.500).

The energy above the lowest structure with this stoichiometry is 827 meV per atom. The calculated total energy is -76.9 eV for the cell shown. The value obtained for the volume is 271.6 Å³ per cell. The formation energy is 1.11 eV per atom. The value obtained for the density of states at the Fermi level is 1.480 states/eV per atom.

***

## RbMgCd11 (GGA-PBE)

Data for a relaxed RbMgCd11 crystal.

The structure belongs to space group C2/m (No. 12); the cell edges are 6.010, 14.557 and 7.927 Å and the angles 90.00°, 111.82° and 90.00°. The distinct sites, in fractional coordinates, are Rb at (0.000, 0.000, 0.000), Mg at (0.000, 0.500, 0.500), Cd at (0.000, 0.000, 0.500), Cd at (0.109, 0.389, 0.224), Cd at (0.184, 0.177, 0.356) and Cd at (0.250, 0.250, 0.000).

The calculated total energy is -26.2 eV for the cell shown. The value obtained for the volume is 643.8 Å³ per cell. The formation energy is -0.04 eV per atom. The value obtained for the density of states at the Fermi level is 0.387 states/eV per atom.

***

## RbLa2Pb3Se6 (GGA-PBE)

Data for a relaxed RbLa2Pb3Se6 crystal.

The structure belongs to space group C2/m (No. 12); the cell edges are 19.156, 4.557 and 8.840 Å and the angles 90.00°, 100.18° and 90.00°. The distinct sites, in fractional coordinates, are Rb at (0.000, 0.000, 0.000), La at (0.169, 0.500, 0.330), Pb at (0.000, 0.000, 0.500), Pb at (0.161, 0.500, 0.847), Se at (0.014, 0.500, 0.276), Se at (0.169, 0.000, 0.566) and Se at (0.181, 0.000, 0.096).

The calculated total energy is -113.1 eV for the cell shown. The value obtained for the volume is 759.6 Å³ per cell. The value obtained for the density of states at the Fermi level is 0.326 states/eV per atom. The uncorrected formation energy is -110.2 kJ/mol of atoms.